No. 1
A geometry-optimized SrSiSeBr2 structure. Source: Alexandria, functional PBE.

Values from the calculation:
Magnetization = 0.00 Bohr magnetons per cell
Symmetry = P4/mmm, No. 123
DFT total energy = -18.18 eV/f.u.
E_form (uncorrected) = -0.848 eV per atom
ΔE to the lowest computed polymorph = 0 meV per atom

CIF file:
```
data_SrSiSeBr2
_chemical_formula_sum 'Sr1 Si1 Se1 Br2'
_space_group_name_H-M_alt 'P 1'
_space_group_IT_number 1
_space_group_name_Hall 'P 1'
_cell_length_a 5.205
_cell_length_b 5.205
_cell_length_c 5.274
_cell_angle_alpha 90.00
_cell_angle_beta 90.00
_cell_angle_gamma 90.00
loop_
_atom_site_label
_atom_site_fract_x
_atom_site_fract_y
_atom_site_fract_z
_atom_site_occupancy
Sr1 0.500 0.500 0.500 1
Si1 0.000 0.000 0.000 1
Se1 0.000 0.000 0.500 1
Br1 0.000 0.500 0.000 1
Br2 0.500 0.000 0.000 1
```

***

No. 2
A geometry-optimized SrSiSeBr2 structure. Source: Alexandria, functional PBE.

Values from the calculation:
Magnetization = 0.00 Bohr magnetons per cell
Symmetry = P4/mmm, No. 123
DFT total energy = -14.80 eV/f.u.
E_form (uncorrected) = -0.172 eV per atom
ΔE to the lowest computed polymorph = 676 meV per atom

CIF file:
```
data_SrSiSeBr2
_chemical_formula_sum 'Sr1 Si1 Se1 Br2'
_space_group_name_H-M_alt 'P 1'
_space_group_IT_number 1
_space_group_name_Hall 'P 1'
_cell_length_a 5.673
_cell_length_b 5.673
_cell_length_c 6.105
_cell_angle_alpha 90.00
_cell_angle_beta 90.00
_cell_angle_gamma 90.00
loop_
_atom_site_label
_atom_site_fract_x
_atom_site_fract_y
_atom_site_fract_z
_atom_site_occupancy
Sr1 0.000 0.000 0.000 1
Si1 0.500 0.500 0.500 1
Se1 0.000 0.000 0.500 1
Br1 0.000 0.500 0.000 1
Br2 0.500 0.000 0.000 1
```

***

No. 3
A geometry-optimized TaSiSeBr2 structure. Source: Alexandria, functional PBE.

Values from the calculation:
Magnetization = 0.37 Bohr magnetons per cell
Symmetry = P4/mmm, No. 123
DFT total energy = -21.93 eV/f.u.
E_form (uncorrected) = 0.435 eV per atom
ΔE to the lowest computed polymorph = 37 meV per atom

CIF file:
```
data_TaSiSeBr2
_chemical_formula_sum 'Ta1 Si1 Se1 Br2'
_space_group_name_H-M_alt 'P 1'
_space_group_IT_number 1
_space_group_name_Hall 'P 1'
_cell_length_a 4.929
_cell_length_b 5.396
_cell_length_c 4.929
_cell_angle_alpha 90.00
_cell_angle_beta 90.00
_cell_angle_gamma 90.00
loop_
_atom_site_label
_atom_site_fract_x
_atom_site_fract_y
_atom_site_fract_z
_atom_site_occupancy
Si1 0.000 0.500 0.000 1
Se1 0.500 0.500 0.500 1
Br1 0.000 0.000 0.500 1
Br2 0.500 0.000 0.000 1
Ta1 0.000 0.000 0.000 1
```

***

Please write out number 3 again, unchanged.
A geometry-optimized TaSiSeBr2 structure. Source: Alexandria, functional PBE.

Values from the calculation:
Magnetization = 0.37 Bohr magnetons per cell
Symmetry = P4/mmm, No. 123
DFT total energy = -21.93 eV/f.u.
E_form (uncorrected) = 0.435 eV per atom
ΔE to the lowest computed polymorph = 37 meV per atom

CIF file:
```
data_TaSiSeBr2
_chemical_formula_sum 'Ta1 Si1 Se1 Br2'
_space_group_name_H-M_alt 'P 1'
_space_group_IT_number 1
_space_group_name_Hall 'P 1'
_cell_length_a 4.929
_cell_length_b 5.396
_cell_length_c 4.929
_cell_angle_alpha 90.00
_cell_angle_beta 90.00
_cell_angle_gamma 90.00
loop_
_atom_site_label
_atom_site_fract_x
_atom_site_fract_y
_atom_site_fract_z
_atom_site_occupancy
Si1 0.000 0.500 0.000 1
Se1 0.500 0.500 0.500 1
Br1 0.000 0.000 0.500 1
Br2 0.500 0.000 0.000 1
Ta1 0.000 0.000 0.000 1
```